[1]
The following is a DFT calculation (PBE) of crystalline Ba3Mn at its relaxed geometry.

Summary:
* V: 192.6 Å³/cell
* total magnetization: 3.50 μB/f.u.
* E: -13.617 eV/cell
* energy relative to the elements: 0.33 eV per atom

a = 4.2376 Å, b = 4.2376 Å, c = 10.7275 Å
α = 90.00°, β = 90.00°, γ = 90.00°
With the nearest neighbours (Å) after each atom.
Space group P4/mmm (No. 123)
One atom of each set of equivalent atoms:
Ba  0.0000  0.0000  0.0000 (multiplicity 1)  12 Ba 4.24-4.54
Ba  0.5000  0.5000  0.3180 (multiplicity 2)  4 Mn 3.58, 1 Ba 3.91
Mn  0.0000  0.0000  0.5000 (multiplicity 1)  8 Ba 3.58

=====

[2]
The following is a DFT calculation (PBE) of crystalline BaMn28 at its relaxed geometry.

Summary:
* V: 687.1 Å³/cell
* total magnetization: 7.69 μB/f.u.
* E: -505.078 eV/cell
* energy relative to the elements: 0.21 eV per atom

a = 8.8241 Å, b = 8.8241 Å, c = 8.8241 Å
α = 90.00°, β = 90.00°, γ = 90.00°
With the nearest neighbours (Å) after each atom.
Space group I-43m (No. 217)
One atom of each set of equivalent atoms:
Ba  0.0000  0.0000  0.0000 (multiplicity 2)  16 Mn 2.84-2.92
Mn  0.0341  0.3557  0.6443 (multiplicity 24)  3 Mn 2.21-2.45
Mn  0.0915  0.0915  0.7049 (multiplicity 24)  4 Mn 2.21-2.45
Mn  0.1908  0.1908  0.1908 (multiplicity 8)  6 Mn 2.50-2.72

=====

[3]
The following is a DFT calculation (PBE) of crystalline Ba2Mn at its relaxed geometry.

Summary:
* V: 249.2 Å³/cell
* total magnetization: 3.55 μB/f.u.
* E: -22.915 eV/cell
* energy relative to the elements: 0.52 eV per atom

a = 6.1108 Å, b = 6.1108 Å, c = 7.7072 Å
α = 90.00°, β = 90.00°, γ = 120.00°
With the nearest neighbours (Å) after each atom.
Space group P6_3/mmc (No. 194)
One atom of each set of equivalent atoms:
Ba  0.0000  0.0000  0.0000 (multiplicity 2)  8 Ba 3.85-4.02, 6 Mn 4.02
Ba  0.3333  0.6667  0.2500 (multiplicity 2)  5 Mn 3.53-3.85
Mn  0.3333  0.6667  0.7500 (multiplicity 2)  5 Ba 3.53-3.85

=====

[4]
The following is a DFT calculation (PBE) of crystalline BaMnMo2 at its relaxed geometry.

Summary:
* V: 284.7 Å³/cell
* total magnetization: 0.00 μB/f.u.
* ΔE to the lowest computed polymorph: 99 meV per atom
* E: -89.535 eV/cell
* energy relative to the elements: 0.73 eV per atom

a = 4.1102 Å, b = 4.1102 Å, c = 19.4526 Å
α = 90.00°, β = 90.00°, γ = 120.00°
With the nearest neighbours (Å) after each atom.
Space group R-3m (No. 166, hexagonal axes)
One atom of each set of equivalent atoms:
Ba  0.0000  0.0000  0.0000 (multiplicity 3)  8 Mo 3.51-3.90
Mn  0.0000  0.0000  0.5000 (multiplicity 3)  6 Mo 2.46
Mo  0.0000  0.0000  0.2004 (multiplicity 6)  3 Mn 2.46, 3 Mo 2.71

=====

[5]
The following is a DFT calculation (PBE) of crystalline BaMnMo2 at its relaxed geometry.

Summary:
* V: 86.8 Å³/cell
* total magnetization: 1.28 μB/f.u.
* ΔE to the lowest computed polymorph: 112 meV per atom
* E: -29.792 eV/cell
* energy relative to the elements: 0.74 eV per atom

a = 3.3308 Å, b = 3.3308 Å, c = 7.8198 Å
α = 90.00°, β = 90.00°, γ = 90.00°
With the nearest neighbours (Å) after each atom.
Space group P4/mmm (No. 123)
One atom of each set of equivalent atoms:
Ba  0.0000  0.0000  0.0000 (multiplicity 1)  4 Ba 3.33, 8 Mo 3.63
Mn  0.0000  0.0000  0.5000 (multiplicity 1)  8 Mo 2.62
Mo  0.5000  0.5000  0.3534 (multiplicity 2)  1 Mo 2.29

=====

[6]
The following is a DFT calculation (PBE) of crystalline BaMnMo2 at its relaxed geometry.

Summary:
* V: 187.8 Å³/cell
* total magnetization: 0.26 μB/f.u.
* ΔE to the lowest computed polymorph: 313 meV per atom
* E: -57.978 eV/cell
* energy relative to the elements: 0.94 eV per atom

a = 3.2864 Å, b = 3.9514 Å, c = 14.4648 Å
α = 90.00°, β = 90.00°, γ = 90.00°
With the nearest neighbours (Å) after each atom.
Space group Imm2 (No. 44)
One atom of each set of equivalent atoms:
Ba  0.0000  0.0000  0.0000 (multiplicity 2)  2 Ba 3.29, 2 Mn 3.50, 6 Mo 3.59-3.60
Mn  0.0000  0.5000  0.7139 (multiplicity 2)  6 Mo 2.31-2.57
Mo  0.0000  0.0000  0.3260 (multiplicity 2)  2 Mn 2.31
Mo  0.0000  0.5000  0.2069 (multiplicity 2)  4 Mn 2.57, 2 Mo 2.62

=====

[7]
The following is a DFT calculation (PBE) of crystalline BaMnMo2 at its relaxed geometry.

Summary:
* V: 284.9 Å³/cell
* total magnetization: 0.00 μB/f.u.
* ΔE to the lowest computed polymorph: 776 meV per atom
* E: -108.538 eV/cell
* energy relative to the elements: 1.41 eV per atom

a = 6.5798 Å, b = 6.5798 Å, c = 6.5798 Å
α = 90.00°, β = 90.00°, γ = 90.00°
With the nearest neighbours (Å) after each atom.
Space group Fm-3m (No. 225)
One atom of each set of equivalent atoms:
Ba  0.0000  0.0000  0.0000 (multiplicity 4)  8 Mo 2.85
Mn  0.0000  0.0000  0.5000 (multiplicity 4)  8 Mo 2.85
Mo  0.2500  0.2500  0.2500 (multiplicity 8)  4 Ba 2.85, 4 Mn 2.85

=====

[8]
The following is a DFT calculation (PBE) of crystalline BaMnMo2 at its relaxed geometry.

Summary:
* V: 162.2 Å³/cell
* total magnetization: 3.06 μB/f.u.
* ΔE to the lowest computed polymorph: 729 meV per atom
* E: -54.651 eV/cell
* energy relative to the elements: 1.36 eV per atom

a = 5.5074 Å, b = 10.4325 Å, c = 2.8238 Å
α = 90.00°, β = 90.00°, γ = 90.00°
With the nearest neighbours (Å) after each atom.
Space group Cmmm (No. 65)
One atom of each set of equivalent atoms:
Ba  0.0000  0.0000  0.0000 (multiplicity 2)  2 Mn 2.75, 2 Ba 2.82
Mn  0.0000  0.5000  0.0000 (multiplicity 2)  2 Ba 2.75, 2 Mn 2.82
Mo  0.2500  0.2500  0.5000 (multiplicity 4)  4 Mo 2.75-2.82

=====

[9]
The following is a DFT calculation (PBE) of crystalline BaMnMo2 at its relaxed geometry.

Summary:
* V: 86.1 Å³/cell
* total magnetization: 0.00 μB/f.u.
* ΔE to the lowest computed polymorph: 134 meV per atom
* E: -29.702 eV/cell
* energy relative to the elements: 0.76 eV per atom

a = 3.0420 Å, b = 3.5960 Å, c = 7.9065 Å
α = 90.00°, β = 95.67°, γ = 90.00°
With the nearest neighbours (Å) after each atom.
Space group P2/m (No. 10)
One atom of each set of equivalent atoms:
Ba  0.0000  0.0000  0.0000 (multiplicity 1)  2 Ba 3.04
Mn  0.0000  0.0000  0.5000 (multiplicity 1)  4 Mo 2.43
Mo  0.4210  0.5000  0.6448 (multiplicity 2)  1 Mo 2.39, 2 Mn 2.43

=====

[10]
The following is a DFT calculation (PBE) of crystalline BaMnMo2 at its relaxed geometry.

Summary:
* V: 86.6 Å³/cell
* total magnetization: 3.40 μB/f.u.
* ΔE to the lowest computed polymorph: 0 meV per atom
* E: -30.240 eV/cell
* energy relative to the elements: 0.63 eV per atom

a = 3.2530 Å, b = 3.2530 Å, c = 8.1880 Å
α = 90.00°, β = 90.00°, γ = 90.00°
With the nearest neighbours (Å) after each atom.
Space group P4mm (No. 99)
One atom of each set of equivalent atoms:
Ba  0.0000  0.0000  0.0000 (multiplicity 1)  4 Ba 3.25, 4 Mo 3.52, 4 Mn 3.58
Mn  0.5000  0.5000  0.3352 (multiplicity 1)  5 Mo 2.72-2.77
Mo  0.0000  0.0000  0.5122 (multiplicity 1)  4 Mo 2.65, 4 Mn 2.72
Mo  0.5000  0.5000  0.6741 (multiplicity 1)  4 Mo 2.65, 1 Mn 2.77

=====

[11]
The following is a DFT calculation (PBE) of crystalline BaMnMo2 at its relaxed geometry.

Summary:
* V: 157.2 Å³/cell
* total magnetization: 3.02 μB/f.u.
* ΔE to the lowest computed polymorph: 659 meV per atom
* E: -55.209 eV/cell
* energy relative to the elements: 1.29 eV per atom

a = 5.6238 Å, b = 10.2049 Å, c = 2.9221 Å
α = 90.00°, β = 110.40°, γ = 90.00°
With the nearest neighbours (Å) after each atom.
Space group C2/m (No. 12)
One atom of each set of equivalent atoms:
Ba  0.0000  0.0000  0.0000 (multiplicity 2)  2 Mn 2.81, 2 Ba 2.92, 4 Mo 3.03
Mn  0.0000  0.5000  0.0000 (multiplicity 2)  2 Ba 2.81, 2 Mn 2.92, 4 Mo 3.03
Mo  0.2500  0.2500  0.5000 (multiplicity 4)  4 Mo 2.81-2.92, 2 Ba 3.03, 2 Mn 3.03

=====

[12]
The following is a DFT calculation (PBE) of crystalline BaMn4Mo at its relaxed geometry.

Summary:
* V: 389.4 Å³/cell
* total magnetization: 7.64 μB/f.u.
* E: -177.277 eV/cell
* energy relative to the elements: 0.85 eV per atom

a = 7.3027 Å, b = 7.3027 Å, c = 7.3027 Å
α = 90.00°, β = 90.00°, γ = 90.00°
With the nearest neighbours (Å) after each atom.
Space group F-43m (No. 216)
One atom of each set of equivalent atoms:
Ba  0.0000  0.0000  0.0000 (multiplicity 4)  12 Mn 3.03, 4 Mo 3.16
Mn  0.1227  0.1227  0.6227 (multiplicity 16)  6 Mn 2.54-2.63
Mo  0.2500  0.2500  0.2500 (multiplicity 4)  12 Mn 3.02, 4 Ba 3.16

=====

[13]
The following is a DFT calculation (PBE) of crystalline BaMnMo2 at its relaxed geometry.

Summary:
* V: 161.9 Å³/cell
* total magnetization: 3.25 μB/f.u.
* ΔE to the lowest computed polymorph: 790 meV per atom
* E: -54.161 eV/cell
* energy relative to the elements: 1.42 eV per atom

a = 4.0604 Å, b = 4.0604 Å, c = 9.8226 Å
α = 90.00°, β = 90.00°, γ = 90.00°
With the nearest neighbours (Å) after each atom.
Space group I4/mmm (No. 139)
One atom of each set of equivalent atoms:
Ba  0.0000  0.0000  0.0000 (multiplicity 2)  4 Mn 2.87, 8 Mo 3.19
Mn  0.0000  0.0000  0.5000 (multiplicity 2)  4 Ba 2.87, 8 Mo 3.19
Mo  0.0000  0.5000  0.2500 (multiplicity 4)  4 Mo 2.87, 4 Ba 3.19, 4 Mn 3.19

=====

[14]
The following is a DFT calculation (PBE) of crystalline BaMnMo2 at its relaxed geometry.

Summary:
* V: 190.5 Å³/cell
* total magnetization: 1.83 μB/f.u.
* ΔE to the lowest computed polymorph: 179 meV per atom
* E: -59.044 eV/cell
* energy relative to the elements: 0.81 eV per atom

a = 9.1442 Å, b = 3.3280 Å, c = 6.5256 Å
α = 90.00°, β = 106.41°, γ = 90.00°
With the nearest neighbours (Å) after each atom.
Space group Cm (No. 8)
One atom of each set of equivalent atoms:
Ba  0.0000  0.0000  0.0000 (multiplicity 2)  2 Ba 3.33, 3 Mn 3.42-3.63, 5 Mo 3.55-3.59
Mn  0.2243  0.0000  0.6212 (multiplicity 2)  4 Mo 2.46-2.49
Mo  0.0137  0.5000  0.5204 (multiplicity 2)  2 Mn 2.49, 2 Mo 2.52
Mo  0.3001  0.5000  0.3938 (multiplicity 2)  2 Mn 2.46, 2 Mo 2.52